(1)
An optimized crystal structure of Li2Nd2Pt15, computed with PBE-GGA.

Results
Total moment in μB per formula unit: 0.00
Calculated volume in A^3/atom: 17.6
Energy of formation in meV/atom: -585

Cell and atoms, written as POSCAR:
```
Li2Nd2Pt15
1.0
6.9924 -0.0373 -0.0333
0.8701 6.9381 -0.0333
0.8701 0.7637 6.8961
Li Nd Pt
2 2 15
Direct
0.0952 0.0952 0.0952
0.9048 0.9048 0.9048
0.3441 0.3441 0.3441
0.6559 0.6559 0.6559
0.5000 0.0000 0.0000
0.0000 0.0000 0.5000
0.0000 0.5000 0.0000
0.0000 0.6832 0.3168
0.6832 0.3168 0.0000
0.3168 0.0000 0.6832
0.3168 0.6832 0.0000
0.6832 0.0000 0.3168
0.0000 0.3168 0.6832
0.1610 0.6599 0.6599
0.6599 0.6599 0.1610
0.6599 0.1610 0.6599
0.8390 0.3401 0.3401
0.3401 0.3401 0.8390
0.3401 0.8390 0.3401
```

(2)
An optimized crystal structure of LiNd2Pt3, computed with PBE-GGA.

Results
Total moment in μB per formula unit: 0.00
Excess energy over the best structure of this formula in the dataset in meV per atom: 62.6
Calculated volume in A^3/atom: 21.9
Energy of formation in meV/atom: -834

Cell and atoms, written as POSCAR:
```
LiNd2Pt3
1.0
4.4697 0.0000 0.0000
-2.2348 3.8709 0.0000
0.0000 0.0000 15.1993
Li Nd Pt
2 4 6
Direct
0.6667 0.3333 0.7500
0.3333 0.6667 0.2500
0.0000 0.0000 0.6232
0.0000 0.0000 0.3768
0.0000 0.0000 0.1232
0.0000 0.0000 0.8768
0.6667 0.3333 0.2500
0.3333 0.6667 0.7500
0.6667 0.3333 0.5069
0.3333 0.6667 0.4931
0.3333 0.6667 0.0069
0.6667 0.3333 0.9931
```

(3)
An optimized crystal structure of LiNd3Pt, computed with PBE-GGA.

Results
Total moment in μB per formula unit: 0.00
Calculated volume in A^3/atom: 28.1
Energy of formation in meV/atom: -395

Cell and atoms, written as POSCAR:
```
LiNd3Pt
1.0
4.8385 0.0066 0.0046
-0.0081 6.4830 -0.4224
-0.0076 -0.5411 8.9797
Li Nd Pt
2 6 2
Direct
0.3758 0.2943 0.7369
0.8757 0.0585 0.1647
0.3756 0.4014 0.2023
0.3756 0.8645 0.9742
0.8756 0.4536 0.5142
0.8755 0.9514 0.6993
0.8757 0.4882 0.9273
0.3755 0.8992 0.3874
0.3756 0.6803 0.6618
0.8756 0.6725 0.2397
```